(1)
Below is an optimized crystal structure of Cd5PtAu4, with properties calculated at the PBE level.

extended XYZ file:
```
10
Lattice="3.3906 0.0000 0.0000 0.0000 3.3906 0.0000 0.0000 0.0000 16.6360" Properties=species:S:1:pos:R:3 pbc="T T T"
Cd 0.0000 0.0000 0.0000
Cd 0.0000 0.0000 3.3939
Cd 0.0000 0.0000 6.7647
Cd 0.0000 0.0000 9.8713
Cd 0.0000 0.0000 13.2421
Pt 1.6953 1.6953 8.3180
Au 1.6953 1.6953 1.6903
Au 1.6953 1.6953 5.0872
Au 1.6953 1.6953 11.5488
Au 1.6953 1.6953 14.9457
```

Output
**E**: -25.67 eV/f.u.
**Spin magnetization**: 0.0 μB/cell
**Space group**: P4/mmm (123)
**V**: 19.1 Å³ per atom
**Formation energy**: -194 meV/atom

(2)
Below is an optimized crystal structure of Cd5Pt6Au, with properties calculated at the PBE level.

extended XYZ file:
```
12
Lattice="-2.1058 3.9429 6.2848 2.1058 -3.9429 6.2848 2.1058 3.9429 -6.2848" Properties=species:S:1:pos:R:3 pbc="T T T"
Cd 0.0000 0.0000 0.0000
Cd 2.1058 0.0000 2.1087
Cd 0.0000 0.0000 4.2384
Cd 0.0000 0.0000 8.3312
Cd 0.0000 3.9429 4.1760
Pt 2.1058 -1.9842 4.1846
Pt 2.1058 1.9463 0.0000
Pt 0.0000 1.9588 2.1002
Pt 2.1058 1.9842 4.1846
Pt 0.0000 1.9967 6.2848
Pt 0.0000 5.9271 2.1002
Au 0.0000 3.9429 0.0000
```

Output
**E**: -47.50 eV/f.u.
**Spin magnetization**: 0.0 μB/cell
**Space group**: Immm (71)
**V**: 17.4 Å³ per atom
**Formation energy**: -284 meV/atom

(3)
Below is an optimized crystal structure of Cd6PtAu3, with properties calculated at the PBE level.

extended XYZ file:
```
20
Lattice="8.1430 0.0000 0.0000 0.0000 4.7607 0.0000 -4.0549 0.0000 10.1716" Properties=species:S:1:pos:R:3 pbc="T T T"
Cd -0.5814 1.1902 1.5749
Cd -1.2274 3.5706 3.4257
Cd 1.2856 3.5706 1.4768
Cd -0.0587 1.1902 4.9674
Cd -0.5436 3.5706 9.4388
Cd 2.4733 1.1902 3.0642
Cd 1.6148 3.5706 7.1075
Cd 4.6316 1.1902 0.7329
Cd 4.1468 3.5706 5.2042
Cd 2.8025 1.1902 8.6948
Cd 5.3154 1.1902 6.7459
Cd 4.6695 3.5706 8.5967
Pt 1.4623 3.5706 4.2864
Pt 2.6258 1.1902 5.8852
Au -1.2706 3.5706 6.4866
Au -2.3023 1.1902 9.9542
Au -0.0492 1.1902 7.8838
Au 4.1373 3.5706 2.2879
Au 6.3903 3.5706 0.2174
Au 5.3587 1.1902 3.6851
```

Output
**E**: -23.11 eV/f.u.
**Spin magnetization**: 0.0 μB/cell
**Space group**: P2_1/m (11)
**V**: 19.7 Å³ per atom
**Formation energy**: -175 meV/atom

(4)
Below is an optimized crystal structure of Cd6Pt10Au, with properties calculated at the PBE level.

extended XYZ file:
```
17
Lattice="7.8847 0.0000 0.0000 -3.9424 6.8284 0.0000 0.0000 0.0000 5.6124" Properties=species:S:1:pos:R:3 pbc="T T T"
Cd -1.3389 2.3190 0.9668
Cd -2.6035 4.5094 4.6456
Cd 2.6778 0.0000 0.9668
Cd 1.3389 2.3190 4.6456
Cd 5.2070 0.0000 4.6456
Cd 2.6035 4.5094 0.9668
Pt -1.2756 2.2093 3.6935
Pt -2.6668 4.6190 1.9189
Pt 2.5511 0.0000 3.6935
Pt 1.2756 2.2093 1.9189
Pt 0.0000 4.5522 0.0000
Pt 0.0000 4.5522 2.8062
Pt 3.9424 2.2761 0.0000
Pt 3.9424 2.2761 2.8062
Pt 5.3336 0.0000 1.9189
Pt 2.6668 4.6190 3.6935
Au 0.0000 0.0000 0.0000
```

Output
**E**: -70.95 eV/f.u.
**Spin magnetization**: 0.0 μB/cell
**Space group**: P-31m (162)
**V**: 17.8 Å³ per atom
**Formation energy**: -104 meV/atom

(5)
Below is an optimized crystal structure of Cd2Pt2Au, with properties calculated at the PBE level.

extended XYZ file:
```
10
Lattice="6.9757 0.0000 0.0000 0.0000 6.9757 0.0000 0.0000 0.0000 3.9606" Properties=species:S:1:pos:R:3 pbc="T T T"
Cd 1.1616 2.3263 0.0000
Cd 2.3263 5.8141 0.0000
Cd 4.6494 1.1616 0.0000
Cd 5.8141 4.6494 0.0000
Pt 0.9369 4.4248 1.9803
Pt 2.5509 0.9369 1.9803
Pt 4.4248 6.0388 1.9803
Pt 6.0388 2.5509 1.9803
Au 0.0000 0.0000 1.9803
Au 3.4878 3.4878 1.9803
```

Output
**E**: -18.25 eV/f.u.
**Spin magnetization**: 0.0 μB/cell
**Space group**: P4/mbm (127)
**V**: 19.3 Å³ per atom
**Formation energy**: -212 meV/atom

(6)
Below is an optimized crystal structure of CdPtAu6, with properties calculated at the PBE level.

extended XYZ file:
```
8
Lattice="4.0827 -2.7448 0.0000 4.0827 2.7448 0.0000 -2.3071 0.0000 7.2823" Properties=species:S:1:pos:R:3 pbc="T T T"
Cd 0.0000 0.0000 0.0000
Pt 2.9291 0.0000 3.6412
Au 2.0680 1.3806 1.4276
Au 0.1792 0.0000 3.2434
Au 3.7902 1.3806 5.8547
Au 2.0680 -1.3806 1.4276
Au 5.6790 0.0000 4.0389
Au 3.7902 -1.3806 5.8547
```

Output
**E**: -25.98 eV/f.u.
**Spin magnetization**: 0.0 μB/cell
**Space group**: C2/m (12)
**V**: 20.4 Å³ per atom
**Formation energy**: 79 meV/atom